No. 1
AcHg2Os3O12 | PBE-GGA | relaxed

a = 8.338 Å, b = 8.338 Å, c = 8.338 Å
α = 51.97°, β = 51.97°, γ = 51.97°
Positions (direct):
O: 0.924 0.308 0.308
O: 0.692 0.076 0.692
O: 0.308 0.308 0.924
O: 0.353 0.951 0.951
O: 0.951 0.951 0.353
O: 0.647 0.049 0.049
O: 0.951 0.353 0.951
O: 0.308 0.924 0.308
O: 0.692 0.692 0.076
O: 0.049 0.049 0.647
O: 0.049 0.647 0.049
O: 0.076 0.692 0.692
Ac: 0.000 0.000 0.000
Hg: 0.418 0.418 0.418
Hg: 0.582 0.582 0.582
Os: 0.000 0.500 0.000
Os: 0.500 0.000 0.000
Os: 0.000 0.000 0.500

Summary:
The value obtained for the energy relative to the elements, uncorrected is -1.1245 eV/atom. Its total magnetization is 0.00 μB/atom. The space group is No. 166.

No. 2
AcHgP2O6 | PBE-GGA | relaxed

a = 6.255 Å, b = 6.255 Å, c = 7.682 Å
α = 65.98°, β = 65.98°, γ = 60.00°
Positions (direct):
P: 0.244 0.244 0.267
P: 0.756 0.756 0.733
O: 0.955 0.370 0.306
O: 0.370 0.369 0.306
O: 0.630 0.631 0.694
O: 0.045 0.630 0.694
O: 0.631 0.045 0.694
O: 0.369 0.955 0.306
Hg: 0.000 0.000 0.000
Ac: 0.500 0.500 0.500

Summary:
The value obtained for the energy relative to the elements, uncorrected is -2.0308 eV/atom. Its total magnetization is 0.10 μB/atom. The space group is No. 166.

No. 3
AcHgP2O8 | PBE-GGA | relaxed

a = 5.305 Å, b = 5.305 Å, c = 7.731 Å
α = 90.00°, β = 90.00°, γ = 120.00°
Positions (direct):
O: 0.345 0.173 0.275
O: 0.173 0.828 0.725
O: 0.828 0.655 0.275
O: 0.827 0.172 0.275
O: 0.172 0.345 0.725
O: 0.655 0.827 0.725
O: 0.333 0.667 0.986
O: 0.667 0.333 0.014
P: 0.667 0.333 0.216
P: 0.333 0.667 0.784
Ac: 0.000 0.000 0.000
Hg: 0.000 0.000 0.500

Summary:
The value obtained for the energy relative to the elements, uncorrected is -2.0981 eV/atom. Its total magnetization is 0.07 μB/atom. The space group is No. 164.

No. 4
Ac2HgPO8 | PBE-GGA | relaxed

a = 5.065 Å, b = 5.065 Å, c = 8.071 Å
α = 90.00°, β = 90.00°, γ = 120.00°
Positions (direct):
Ac: 0.333 0.667 0.803
Ac: 0.667 0.333 0.197
O: 0.667 0.333 0.505
O: 0.333 0.667 0.495
O: 0.155 0.310 0.124
O: 0.155 0.845 0.124
O: 0.845 0.690 0.876
O: 0.690 0.845 0.124
O: 0.310 0.155 0.876
O: 0.845 0.155 0.876
P: 0.000 0.000 0.000
Hg: 0.000 0.000 0.500

Summary:
The value obtained for the energy relative to the elements, uncorrected is -1.6709 eV/atom. Its total magnetization is 0.02 μB/atom. The space group is No. 164.

No. 5
AcHg2PO8 | PBE-GGA | relaxed

a = 5.265 Å, b = 5.265 Å, c = 6.719 Å
α = 90.00°, β = 90.00°, γ = 120.00°
Positions (direct):
O: 0.333 0.667 0.555
O: 0.149 0.298 0.150
O: 0.667 0.333 0.445
O: 0.149 0.851 0.150
O: 0.851 0.149 0.850
O: 0.851 0.702 0.850
O: 0.298 0.149 0.850
O: 0.702 0.851 0.150
Hg: 0.667 0.333 0.129
Hg: 0.333 0.667 0.871
P: 0.000 0.000 0.000
Ac: 0.000 0.000 0.500

Summary:
The value obtained for the energy relative to the elements, uncorrected is -0.9706 eV/atom. Its total magnetization is 0.33 μB/atom. The space group is No. 164.

No. 6
AcPa2HgO7 | PBE-GGA | relaxed

a = 4.336 Å, b = 4.336 Å, c = 11.421 Å
α = 90.00°, β = 90.00°, γ = 90.00°
Positions (direct):
O: 0.500 0.500 0.631
O: 0.000 0.500 0.150
O: 0.000 0.500 0.850
O: 0.500 0.000 0.850
O: 0.500 0.500 0.369
O: 0.500 0.500 0.000
O: 0.500 0.000 0.150
Pa: 0.500 0.500 0.199
Pa: 0.500 0.500 0.801
Hg: 0.000 0.000 0.500
Ac: 0.000 0.000 0.000

Summary:
The value obtained for the energy relative to the elements, uncorrected is -2.8662 eV/atom. Its total magnetization is 0.09 μB/atom. The space group is No. 123.